## CaPm4Se5 (PBE)

Data for crystalline CaPm4Se5 at its relaxed geometry.

## Properties
E_form (uncorrected): -1.868 eV/atom
Symmetry: I4/mmm
Total moment: 0.00 μB/cell

Cell: 4.189 4.189 15.183 Å, 97.93 97.93 90.00°
Element x y z (fractional)
Pm1 0.398 0.398 0.795
Pm2 0.199 0.199 0.398
Pm3 0.801 0.801 0.602
Pm4 0.602 0.602 0.205
Se1 0.701 0.701 0.402
Se2 0.902 0.902 0.803
Se3 0.299 0.299 0.598
Se4 0.500 0.500 0.000
Se5 0.098 0.098 0.197
Ca1 0.000 0.000 0.000